Material: Sb2TeMoF
Method: DFT, PBE+U
State: optimized geometry

The structure belongs to space group P4/mmm (No. 123); the cell edges are 4.7188, 4.7188 and 5.5547 Å and the angles 90.00°, 90.00° and 90.00°. The distinct sites, in fractional coordinates, are Sb at (0.0000, 0.5000, 0.0000), Te at (0.0000, 0.0000, 0.5000), Mo at (0.5000, 0.5000, 0.5000) and F at (0.0000, 0.0000, 0.0000).

The value obtained for the magnetic moment is 3.72 μB/cell. The calculation puts the energy above the most stable polymorph in this dataset at 0.000 eV/atom.